Entry 1:
HfAsRhBr2 | PBE | optimized geometry

a = 4.866 Å, b = 4.866 Å, c = 5.015 Å
α = 90.00°, β = 90.00°, γ = 90.00°
Atoms (fractional coordinates):
Rh1 0.000 0.000 0.000
Hf1 0.500 0.500 0.500
Br1 0.000 0.500 0.000
Br2 0.500 0.000 0.000
As1 0.000 0.000 0.500

final energy	-22.928	eV/cell
formation energy from raw total energies	2.372	eV per formula unit



Entry 2:
HfAs2RhBr | PBE | optimized geometry

a = 4.804 Å, b = 4.804 Å, c = 4.884 Å
α = 90.00°, β = 90.00°, γ = 90.00°
Atoms (fractional coordinates):
Rh1 0.000 0.000 0.000
As1 0.000 0.500 0.000
As2 0.500 0.000 0.000
Br1 0.000 0.000 0.500
Hf1 0.500 0.500 0.500

final energy	-26.029	eV/cell
formation energy from raw total energies	2.248	eV per formula unit
energy relative to the lowest polymorph listed for this composition	0.00	kJ/mol of atoms



Entry 3:
HfAs2RhBr | PBE | optimized geometry

a = 5.144 Å, b = 5.144 Å, c = 5.134 Å
α = 90.00°, β = 90.00°, γ = 90.00°
Atoms (fractional coordinates):
As1 0.500 0.000 0.000
As2 0.000 0.500 0.000
Br1 0.000 0.000 0.500
Rh1 0.500 0.500 0.500
Hf1 0.000 0.000 0.000

final energy	-25.427	eV/cell
formation energy from raw total energies	2.849	eV per formula unit
energy relative to the lowest polymorph listed for this composition	11.61	kJ/mol of atoms



Entry 4:
HfAsRuBr2 | PBE | optimized geometry

a = 5.169 Å, b = 5.169 Å, c = 5.298 Å
α = 90.00°, β = 90.00°, γ = 90.00°
Atoms (fractional coordinates):
Ru1 0.500 0.500 0.500
Hf1 0.000 0.000 0.000
As1 0.000 0.000 0.500
Br1 0.000 0.500 0.000
Br2 0.500 0.000 0.000

final energy	-24.474	eV/cell
formation energy from raw total energies	2.751	eV per formula unit
energy relative to the lowest polymorph listed for this composition	0.00	kJ/mol of atoms